1.
Density functional theory data (PBE-GGA) for a relaxed Ca2PrCuS4 crystal.

Values from the calculation:
**Energy**: -43.242 eV per formula unit
**E_form (uncorrected)**: -1.732 eV per atom

Cell lengths 3.9404, 12.9335, 13.8013 Å; angles 90.00, 90.00, 90.00 degrees
Space group Cmcm (No. 63)
Inequivalent atoms, fractional coordinates:
1 Ca 0.0000 0.1313 0.0595 x8
2 Pr 0.0000 0.3851 0.2500 x4
3 Cu 0.0000 0.3489 0.7500 x4
4 S 0.0000 0.0496 0.2500 x4
5 S 0.0000 0.2228 0.6271 x8
6 S 0.0000 0.5000 0.0000 x4


2.
Density functional theory data (PBE-GGA) for a relaxed Ca3Pr3CuSe8 crystal.

Values from the calculation:
**Energy**: -76.720 eV per formula unit
**Fermi-level density of states**: 12.86 states/eV/cell
**E_form (uncorrected)**: -1.627 eV per atom

Cell lengths 14.5538, 8.4090, 8.4287 Å; angles 90.00, 125.17, 90.00 degrees
Space group C2/m (No. 12)
Inequivalent atoms, fractional coordinates:
1 Ca 0.0000 0.0000 0.0000 x2
2 Ca 0.2500 0.2500 0.0000 x4
3 Pr 0.0000 0.5000 0.5000 x2
4 Pr 0.2500 0.2500 0.5000 x4
5 Cu 0.0000 0.0000 0.5000 x2
6 Se 0.0002 0.2388 0.2618 x8
7 Se 0.2370 0.0000 0.7367 x4
8 Se 0.2483 0.0000 0.2450 x4


3.
Density functional theory data (PBE-GGA) for a relaxed CaPrCu2Si2 crystal.

Values from the calculation:
**Energy**: -28.880 eV per formula unit
**Fermi-level density of states**: 3.08 states/eV/cell
**E_form (uncorrected)**: -0.510 eV per atom

Cell lengths 4.1376, 4.1376, 8.2934 Å; angles 90.00, 90.00, 120.00 degrees
Space group P-3m1 (No. 164)
Inequivalent atoms, fractional coordinates:
1 Ca 0.0000 0.0000 0.0000 x1
2 Pr 0.0000 0.0000 0.5000 x1
3 Cu 0.3333 0.6667 0.2450 x2
4 Si 0.3333 0.6667 0.7474 x2


4.
Density functional theory data (PBE-GGA) for a relaxed CaPrCuSi crystal.

Values from the calculation:
**Energy**: -17.643 eV per formula unit
**Fermi-level density of states**: 6.51 states/eV/cell
**E_form (uncorrected)**: -0.336 eV per atom

Cell lengths 7.2135, 7.2135, 7.2135 Å; angles 90.00, 90.00, 90.00 degrees
Space group F-43m (No. 216)
Inequivalent atoms, fractional coordinates:
1 Ca 0.0000 0.0000 0.0000 x4
2 Pr 0.0000 0.0000 0.5000 x4
3 Cu 0.2500 0.2500 0.2500 x4
4 Si 0.2500 0.2500 0.7500 x4


5.
Density functional theory data (PBE-GGA) for a relaxed CaPrCuSn crystal.

Values from the calculation:
**Energy**: -16.586 eV per formula unit
**Formation energy**: -427 meV per atom
**Fermi-level density of states**: 6.46 states/eV/cell

Cell lengths 7.5159, 7.5159, 7.5159 Å; angles 90.00, 90.00, 90.00 degrees
Space group F-43m (No. 216)
Inequivalent atoms, fractional coordinates:
1 Ca 0.0000 0.0000 0.0000 x4
2 Pr 0.0000 0.0000 0.5000 x4
3 Cu 0.2500 0.2500 0.2500 x4
4 Sn 0.2500 0.2500 0.7500 x4


6.
Density functional theory data (PBE-GGA) for a relaxed Ca3Pr3CuTe8 crystal.

Values from the calculation:
**Energy**: -68.463 eV per formula unit
**Fermi-level density of states**: 8.87 states/eV/cell
**E_form (uncorrected)**: -1.259 eV per atom

Cell lengths 15.3831, 9.0865, 8.9929 Å; angles 90.00, 125.04, 90.00 degrees
Space group C2/m (No. 12)
Inequivalent atoms, fractional coordinates:
1 Ca 0.0000 0.0000 0.0000 x2
2 Ca 0.2500 0.2500 0.0000 x4
3 Pr 0.0000 0.5000 0.5000 x2
4 Pr 0.2500 0.2500 0.5000 x4
5 Cu 0.0000 0.0000 0.5000 x2
6 Te 0.0006 0.2576 0.2444 x8
7 Te 0.2093 0.0000 0.7111 x4
8 Te 0.2478 0.0000 0.2452 x4


7.
Density functional theory data (PBE-GGA) for a relaxed CaPrZnCu crystal.

Values from the calculation:
**Energy**: -12.929 eV per formula unit
**Formation energy**: -195 meV per atom
**Fermi-level density of states**: 14.79 states/eV/cell

Cell lengths 7.2726, 7.2726, 7.2726 Å; angles 90.00, 90.00, 90.00 degrees
Space group F-43m (No. 216)
Inequivalent atoms, fractional coordinates:
1 Ca 0.0000 0.0000 0.0000 x4
2 Pr 0.0000 0.0000 0.5000 x4
3 Zn 0.2500 0.2500 0.7500 x4
4 Cu 0.2500 0.2500 0.2500 x4


8.
Density functional theory data (PBE-GGA) for a relaxed CaCu2Pt crystal.

Values from the calculation:
**Energy**: -16.476 eV per formula unit
**Formation energy**: -60 meV per atom
**Fermi-level density of states**: 2.82 states/eV/cell

Cell lengths 5.5225, 9.2331, 2.9454 Å; angles 90.00, 117.25, 90.00 degrees
Space group C2/m (No. 12)
Inequivalent atoms, fractional coordinates:
1 Ca 0.0000 0.0000 0.0000 x2
2 Cu 0.2500 0.2500 0.5000 x4
3 Pt 0.0000 0.5000 0.0000 x2


Look up the energy of the sixth one. -68.463 eV per formula unit